LuScInIr | PBE | optimized geometry

a b c (Å): 4.880 4.880 4.880
angles (deg): 60.00 60.00 60.00
Sites, in units of the cell vectors:
Lu: 0.000 0.000 0.000
Sc: 0.500 0.500 0.500
In: 0.750 0.750 0.750
Ir: 0.250 0.250 0.250

Computed properties:
* energy relative to the elements: -235 kJ/mol of formula units
* crystal system: cubic
* density of states at the Fermi level: 0.55 states/eV per atom